# 1
A plane-wave DFT calculation with PBE-GGA was carried out for CeGa2W after structural relaxation.

a b c (Å): 2.9536 2.9536 29.3536
angles (deg): 90.00 90.00 120.00
Space group R-3m (No. 166, hexagonal axes)
Symmetry-distinct sites (fractional):
Ce 0.0000 0.0000 0.0000
Ga 0.0000 0.0000 0.2409
W 0.0000 0.0000 0.5000

---

# 2
A plane-wave DFT calculation with PBE-GGA was carried out for Ho6Mg23 after structural relaxation.

a b c (Å): 14.2072 14.2072 14.2072
angles (deg): 90.00 90.00 90.00
Space group Fm-3m (No. 225)
Symmetry-distinct sites (fractional):
Ho 0.0000 0.0000 0.1909
Mg 0.0000 0.0000 0.5000
Mg 0.0000 0.2500 0.2500
Mg 0.1198 0.1198 0.3802
Mg 0.1683 0.1683 0.1683

---

# 3
A plane-wave DFT calculation with PBE-GGA was carried out for TlPd4Pb3 after structural relaxation.

a b c (Å): 6.0224 10.5032 5.6072
angles (deg): 90.00 90.00 90.00
Space group Imm2 (No. 44)
Symmetry-distinct sites (fractional):
Tl 0.0000 0.0000 0.0000
Pd 0.0000 0.2709 0.0499
Pd 0.2341 0.5000 0.9011
Pb 0.0000 0.2106 0.5584
Pb 0.0000 0.5000 0.3461

---

# 4
A plane-wave DFT calculation with PBE-GGA was carried out for BaPuP2 after structural relaxation.

a b c (Å): 4.2394 4.2394 21.5359
angles (deg): 90.00 90.00 120.00
Space group R-3m (No. 166, hexagonal axes)
Symmetry-distinct sites (fractional):
Ba 0.0000 0.0000 0.0000
Pu 0.0000 0.0000 0.5000
P 0.0000 0.0000 0.2314

---

# 5
A plane-wave DFT calculation with PBE-GGA was carried out for PuMg2Ni9 after structural relaxation.

a b c (Å): 4.8524 4.8524 23.6547
angles (deg): 90.00 90.00 120.00
Space group R-3m (No. 166, hexagonal axes)
Symmetry-distinct sites (fractional):
Pu 0.0000 0.0000 0.0000
Mg 0.0000 0.0000 0.1441
Ni 0.0000 0.0000 0.3337
Ni 0.0000 0.0000 0.5000
Ni 0.0024 0.5012 0.9155

---

# 6
A plane-wave DFT calculation with PBE-GGA was carried out for CsNiP3 after structural relaxation.

a b c (Å): 5.4032 5.4032 5.4032
angles (deg): 90.00 90.00 90.00
Space group Pm-3m (No. 221)
Symmetry-distinct sites (fractional):
Cs 0.0000 0.0000 0.0000
Ni 0.5000 0.5000 0.5000
P 0.0000 0.0000 0.5000

---

Asked for formation enthalpy at 0 K across the records above, the calculation gives 0.0158 -0.0354 -0.0867 -0.9767 -0.2092 2.5789 eV per atom in order.
Asked for VASP energy across the records above, the calculation gives -6.219 -2.247 -4.370 -7.745 -6.005 -1.994 eV per atom in order.
Asked for volume across the records above, the calculation gives 222 2868 355 335 482 158 Å³/cell in order.